A relaxed structure of La2HgRh. Source: the Alexandria database, functional PBEsol.

## Properties
Electronic total energy in eV per cell: -21.264
DOS at the Fermi energy in states/eV/atom: 0.8803
M_tot in μB/f.u.: 0.00
Space group: No. 44
Energy relative to the elements in meV per atom: -467

a = 3.6342 Å, b = 4.6547 Å, c = 6.6094 Å
α = 110.62°, β = 105.96°, γ = 90.00°
Closest atoms and distances in Å follow each position.
Sites, in units of the cell vectors:
Hg 0.1967 0.6967 0.3934  2 Rh 2.91, 4 La 3.19
La 0.0001 0.0001 0.0001  4 Rh 2.95, 2 Hg 3.29
La 0.7983 0.2983 0.5965  2 Rh 3.05, 4 Hg 3.19, 2 La 3.33
Rh 0.5050 0.5050 0.0100  2 Hg 2.91, 6 La 2.95-3.05